1.
MgMn2Si: optimized geometry, PBEsol.

Cell lengths 4.356, 4.356, 4.356 Å; angles 127.21, 127.21, 77.91 degrees
Sites, in units of the cell vectors:
Mg: 0.000 0.000 0.000
Mn: 0.250 0.750 0.500
Mn: 0.750 0.250 0.500
Si: 0.500 0.500 0.000

* final energy: -6.72 eV/atom
* E_form (uncorrected): 0.567 kcal/mol of atoms
* magnetic moment: 4.6 Bohr magnetons per cell

2.
MnAg3F: optimized geometry, PBEsol.

Cell lengths 4.836, 4.836, 4.836 Å; angles 90.00, 90.00, 90.00 degrees
Sites, in units of the cell vectors:
Mn: 0.000 0.000 0.000
Ag: 0.000 0.000 0.500
Ag: 0.000 0.500 0.000
Ag: 0.500 0.000 0.000
F: 0.500 0.500 0.500

* final energy: -3.41 eV/atom
* E_form (uncorrected): 21.163 kcal/mol of atoms
* magnetic moment: 4.6 Bohr magnetons per cell

3.
NaNi2SnBr: optimized geometry, PBEsol.

Cell lengths 4.656, 4.656, 4.852 Å; angles 90.00, 90.00, 90.00 degrees
Sites, in units of the cell vectors:
Na: 0.000 0.000 0.000
Ni: 0.000 0.500 0.000
Ni: 0.500 0.000 0.000
Sn: 0.500 0.500 0.500
Br: 0.000 0.000 0.500

* final energy: -2.86 eV/atom
* E_form (uncorrected): 25.563 kcal/mol of atoms
* magnetic moment: 0.4 Bohr magnetons per cell

4.
LaCu2RhSe: optimized geometry, PBEsol.

Cell lengths 4.614, 4.614, 5.216 Å; angles 90.00, 90.00, 90.00 degrees
Sites, in units of the cell vectors:
La: 0.000 0.000 0.000
Cu: 0.000 0.500 0.500
Cu: 0.500 0.000 0.500
Rh: 0.000 0.000 0.500
Se: 0.500 0.500 0.000

* final energy: -5.13 eV/atom
* E_form (uncorrected): 1.732 kcal/mol of atoms
* magnetic moment: 0.0 Bohr magnetons per cell

5.
As2HSeF: optimized geometry, PBEsol.

Cell lengths 4.121, 4.121, 4.098 Å; angles 90.00, 90.00, 90.00 degrees
Sites, in units of the cell vectors:
As: 0.000 0.500 0.000
As: 0.500 0.000 0.000
H: 0.000 0.000 0.000
Se: 0.000 0.000 0.500
F: 0.500 0.500 0.500

* final energy: -3.68 eV/atom
* magnetic moment: 0.0 Bohr magnetons per cell

6.
MnTe2Au: optimized geometry, PBEsol.

Cell lengths 7.339, 7.339, 7.339 Å; angles 30.10, 30.10, 30.10 degrees
Sites, in units of the cell vectors:
Mn: 0.000 0.000 0.000
Te: 0.257 0.257 0.257
Te: 0.743 0.743 0.743
Au: 0.500 0.500 0.500

* final energy: -5.14 eV/atom
* E_form (uncorrected): 1.083 kcal/mol of atoms
* magnetic moment: 3.3 Bohr magnetons per cell
* distance to the lowest polymorph of the same formula: 7 meV/atom

7.
Li4TiCrO6: optimized geometry, PBEsol.

Cell lengths 4.967, 4.967, 9.602 Å; angles 94.78, 94.78, 119.86 degrees
Sites, in units of the cell vectors:
Li: 0.000 0.500 0.000
Li: 0.150 0.330 0.498
Li: 0.249 0.751 0.750
Li: 0.330 0.150 0.998
Li: 0.500 0.000 0.500
Li: 0.670 0.850 0.002
Li: 0.751 0.249 0.250
Li: 0.850 0.670 0.502
Ti: 0.419 0.581 0.250
Ti: 0.581 0.419 0.750
Cr: 0.084 0.916 0.250
Cr: 0.916 0.084 0.750
O: 0.065 0.206 0.136
O: 0.141 0.644 0.366
O: 0.206 0.065 0.636
O: 0.279 0.429 0.864
O: 0.356 0.859 0.134
O: 0.429 0.279 0.364
O: 0.571 0.721 0.636
O: 0.644 0.141 0.866
O: 0.721 0.571 0.136
O: 0.794 0.935 0.364
O: 0.859 0.356 0.634
O: 0.935 0.794 0.864

* final energy: -7.18 eV/atom
* E_form (uncorrected): -54.256 kcal/mol of atoms
* magnetic moment: 4.0 Bohr magnetons per cell

8.
Sr2H2Pb: optimized geometry, PBEsol.

Cell lengths 7.986, 7.986, 7.986 Å; angles 151.98, 151.98, 40.04 degrees
Sites, in units of the cell vectors:
Sr: 0.155 0.155 0.000
Sr: 0.845 0.845 0.000
H: 0.250 0.750 0.500
H: 0.750 0.250 0.500
Pb: 0.500 0.500 0.000

* final energy: -3.42 eV/atom
* magnetic moment: 0.0 Bohr magnetons per cell

9.
AlIn: optimized geometry, PBEsol.

Cell lengths 4.722, 4.722, 5.750 Å; angles 90.00, 90.00, 120.00 degrees
Sites, in units of the cell vectors:
Al: 0.333 0.667 0.250
Al: 0.667 0.333 0.750
In: 0.333 0.667 0.750
In: 0.667 0.333 0.250

* final energy: -3.12 eV/atom
* energy of formation: 421.9 meV per atom
* magnetic moment: 0.0 Bohr magnetons per cell

10.
MgScPCl2: optimized geometry, PBEsol.

Cell lengths 4.753, 4.753, 5.295 Å; angles 90.00, 90.00, 90.00 degrees
Sites, in units of the cell vectors:
Mg: 0.000 0.000 0.000
Sc: 0.500 0.500 0.500
P: 0.500 0.500 0.000
Cl: 0.000 0.500 0.500
Cl: 0.500 0.000 0.500

* final energy: -4.56 eV/atom
* E_form (uncorrected): -21.544 kcal/mol of atoms
* magnetic moment: 0.0 Bohr magnetons per cell

11.
ScFe2Ir: optimized geometry, PBEsol.

Cell lengths 3.700, 3.700, 4.079 Å; angles 90.00, 90.00, 90.00 degrees
Sites, in units of the cell vectors:
Sc: 0.000 0.000 0.000
Fe: 0.000 0.500 0.500
Fe: 0.500 0.000 0.500
Ir: 0.500 0.500 0.000

* final energy: -8.77 eV/atom
* energy of formation: -178.3 meV per atom
* magnetic moment: 5.4 Bohr magnetons per cell

12.
Si2Te: optimized geometry, PBEsol.

Cell lengths 10.142, 10.142, 3.828 Å; angles 90.00, 90.00, 157.46 degrees
Sites, in units of the cell vectors:
Si: 0.034 0.966 0.750
Si: 0.401 0.599 0.250
Si: 0.599 0.401 0.750
Si: 0.966 0.034 0.250
Te: 0.317 0.683 0.750
Te: 0.683 0.317 0.250

* final energy: -4.97 eV/atom
* E_form (uncorrected): 0.791 kcal/mol of atoms
* magnetic moment: 0.0 Bohr magnetons per cell
* distance to the lowest polymorph of the same formula: 0 meV/atom

13.
TlSnF7: optimized geometry, PBEsol.

Cell lengths 8.781, 5.457, 11.948 Å; angles 90.00, 117.82, 90.00 degrees
Sites, in units of the cell vectors:
Tl: 0.185 0.239 0.264
Tl: 0.185 0.261 0.764
Tl: 0.815 0.739 0.236
Tl: 0.815 0.761 0.736
Sn: 0.270 0.737 0.042
Sn: 0.270 0.763 0.542
Sn: 0.730 0.237 0.458
Sn: 0.730 0.263 0.958
F: 0.016 0.744 0.951
F: 0.016 0.756 0.451
F: 0.039 0.608 0.729
F: 0.039 0.892 0.229
F: 0.259 0.080 0.457
F: 0.259 0.420 0.957
F: 0.269 0.545 0.184
F: 0.269 0.955 0.684
F: 0.286 0.031 0.145
F: 0.286 0.469 0.645
F: 0.290 0.564 0.411
F: 0.290 0.936 0.911
F: 0.476 0.203 0.370
F: 0.476 0.297 0.870
F: 0.524 0.703 0.130
F: 0.524 0.797 0.630
F: 0.710 0.064 0.089
F: 0.710 0.436 0.589
F: 0.714 0.531 0.355
F: 0.714 0.969 0.855
F: 0.731 0.045 0.316
F: 0.731 0.455 0.816
F: 0.741 0.580 0.043
F: 0.741 0.920 0.543
F: 0.961 0.108 0.771
F: 0.961 0.392 0.271
F: 0.984 0.244 0.549
F: 0.984 0.256 0.049

* final energy: -4.42 eV/atom
* E_form (uncorrected): -49.738 kcal/mol of atoms
* magnetic moment: 0.5 Bohr magnetons per cell

14.
Ca2TaMn: optimized geometry, PBEsol.

Cell lengths 5.951, 5.951, 5.951 Å; angles 147.78, 125.73, 64.53 degrees
Sites, in units of the cell vectors:
Ca: 0.000 0.000 0.000
Ca: 0.699 0.199 0.500
Ta: 0.401 0.401 0.000
Mn: 0.246 0.746 0.500

* final energy: -6.08 eV/atom
* energy of formation: 567.1 meV per atom
* magnetic moment: 0.0 Bohr magnetons per cell
* distance to the lowest polymorph of the same formula: 0 meV/atom

15.
Zn2CrAg: optimized geometry, PBEsol.

Cell lengths 3.072, 3.072, 6.054 Å; angles 90.00, 90.00, 90.00 degrees
Sites, in units of the cell vectors:
Zn: 0.000 0.000 0.236
Zn: 0.000 0.000 0.764
Cr: 0.500 0.500 0.000
Ag: 0.500 0.500 0.500

* final energy: -4.01 eV/atom
* energy of formation: 173.7 meV per atom
* magnetic moment: 3.0 Bohr magnetons per cell

16.
KMnF3: optimized geometry, PBEsol.

Cell lengths 4.178, 4.178, 4.178 Å; angles 90.00, 90.00, 90.00 degrees
Sites, in units of the cell vectors:
K: 0.000 0.000 0.000
Mn: 0.500 0.500 0.500
F: 0.000 0.500 0.500
F: 0.500 0.000 0.500
F: 0.500 0.500 0.000

* final energy: -5.85 eV/atom
* E_form (uncorrected): -57.935 kcal/mol of atoms
* magnetic moment: 5.0 Bohr magnetons per cell

17.
ZrAs2Pt: optimized geometry, PBEsol.

Cell lengths 5.750, 5.750, 5.750 Å; angles 143.31, 141.72, 54.06 degrees
Sites, in units of the cell vectors:
Zr: 0.000 0.000 0.000
As: 0.307 0.807 0.500
As: 0.570 0.570 0.000
Pt: 0.756 0.256 0.500

* final energy: -7.24 eV/atom
* energy of formation: -670.8 meV per atom
* magnetic moment: 0.0 Bohr magnetons per cell

18.
VFe3P6O24: optimized geometry, PBEsol.

Cell lengths 8.489, 8.489, 8.489 Å; angles 56.68, 56.68, 56.68 degrees
Sites, in units of the cell vectors:
V: 0.000 0.000 0.000
Fe: 0.214 0.214 0.214
Fe: 0.509 0.509 0.509
Fe: 0.722 0.722 0.722
P: 0.110 0.399 0.830
P: 0.335 0.891 0.605
P: 0.399 0.830 0.110
P: 0.605 0.335 0.891
P: 0.830 0.110 0.399
P: 0.891 0.605 0.335
O: 0.038 0.076 0.382
O: 0.045 0.390 0.357
O: 0.054 0.237 0.862
O: 0.076 0.382 0.038
O: 0.126 0.969 0.757
O: 0.237 0.862 0.054
O: 0.327 0.371 0.678
O: 0.344 0.686 0.644
O: 0.357 0.045 0.390
O: 0.371 0.678 0.327
O: 0.382 0.038 0.076
O: 0.390 0.357 0.045
O: 0.490 0.869 0.663
O: 0.611 0.748 0.967
O: 0.644 0.344 0.686
O: 0.663 0.490 0.869
O: 0.678 0.327 0.371
O: 0.686 0.644 0.344
O: 0.748 0.967 0.611
O: 0.757 0.126 0.969
O: 0.862 0.054 0.237
O: 0.869 0.663 0.490
O: 0.967 0.611 0.748
O: 0.969 0.757 0.126

* final energy: -7.63 eV/atom
* E_form (uncorrected): -42.209 kcal/mol of atoms
* magnetic moment: 7.0 Bohr magnetons per cell

19.
AlBr2Cl: optimized geometry, PBEsol.

Cell lengths 4.847, 4.847, 4.847 Å; angles 60.00, 60.00, 60.00 degrees
Sites, in units of the cell vectors:
Al: 0.000 0.000 0.000
Br: 0.250 0.250 0.250
Br: 0.750 0.750 0.750
Cl: 0.500 0.500 0.500

* final energy: -2.56 eV/atom
* E_form (uncorrected): -2.238 kcal/mol of atoms
* magnetic moment: 0.0 Bohr magnetons per cell
* distance to the lowest polymorph of the same formula: 719 meV/atom

20.
Ni2AgIr: optimized geometry, PBEsol.

Cell lengths 4.390, 4.390, 2.661 Å; angles 90.00, 90.00, 90.00 degrees
Sites, in units of the cell vectors:
Ni: 0.000 0.500 0.000
Ni: 0.500 0.000 0.000
Ag: 0.000 0.000 0.500
Ir: 0.500 0.500 0.500

* final energy: -6.12 eV/atom
* energy of formation: 240.3 meV per atom
* magnetic moment: 0.8 Bohr magnetons per cell
* distance to the lowest polymorph of the same formula: 0 meV/atom

21.
CeUN2: optimized geometry, PBEsol.

Cell lengths 5.974, 5.974, 5.974 Å; angles 33.61, 33.61, 33.61 degrees
Sites, in units of the cell vectors:
Ce: 0.000 0.000 0.000
U: 0.500 0.500 0.500
N: 0.240 0.240 0.240
N: 0.760 0.760 0.760

* final energy: -10.50 eV/atom
* E_form (uncorrected): -35.670 kcal/mol of atoms
* magnetic moment: 0.6 Bohr magnetons per cell

22.
KBaW2: optimized geometry, PBEsol.

Cell lengths 6.512, 6.512, 6.512 Å; angles 148.72, 141.29, 50.58 degrees
Sites, in units of the cell vectors:
K: 0.000 0.000 0.000
Ba: 0.500 0.500 0.000
W: 0.249 0.749 0.500
W: 0.751 0.251 0.500

* final energy: -6.04 eV/atom
* energy of formation: 1682.6 meV per atom
* magnetic moment: 0.0 Bohr magnetons per cell